# Hf3Fe4P4 (GGA-PBE, optimized geometry)
# formation enthalpy at 0 K: -940 meV per atom
# SG: Immm (71)
# raw total energy: -8.700 eV per atom
data_Hf3Fe4P4
_chemical_formula_sum 'Hf3 Fe4 P4'
_symmetry_space_group_name_H-M 'P 1'
_symmetry_Int_Tables_number 1
_cell_length_a 7.158
_cell_length_b 7.158
_cell_length_c 7.158
_cell_angle_alpha 150.31
_cell_angle_beta 125.91
_cell_angle_gamma 62.92
loop_
_symmetry_equiv_pos_as_xyz
'x,y,z'
loop_
_atom_site_label
_atom_site_fract_x
_atom_site_fract_y
_atom_site_fract_z
Hf1 0.000 0.000 0.000
Hf2 0.377 0.877 0.500
Hf3 0.623 0.123 0.500
Fe1 0.023 0.325 0.699
Fe2 0.374 0.675 0.699
Fe3 0.626 0.325 0.301
Fe4 0.977 0.675 0.301
P1 0.219 0.219 0.000
P2 0.292 0.500 0.792
P3 0.708 0.500 0.208
P4 0.781 0.781 0.000